DFT (PBE-GGA) results for AcPr2S3 after structural relaxation.

Computed properties:
DFT total energy in eV/atom: -6.35
V in Å³/atom: 25.75
Density in g/cm³: 6.504
Formation energy from raw total energies in eV/atom: -2.005
D(E_F) in states/eV per atom: 0.490

Structure (POSCAR):
```
AcPr2S3
1.0
-2.088 2.957 6.255
2.088 -2.957 6.255
2.088 2.957 -6.255
Ac Pr S
1 2 3
direct
0.000 0.000 0.000
0.333 0.333 0.000
0.667 0.667 0.000
0.172 0.672 0.500
0.500 0.000 0.500
0.828 0.328 0.500
```

---

DFT (PBE-GGA) results for LaNd4As5 after structural relaxation.

Computed properties:
DFT total energy in eV/atom: -6.25
V in Å³/atom: 27.99
Density in g/cm³: 6.468
Energy of formation from the pure elements in eV/atom: -1.5236
D(E_F) in states/eV per atom: 0.151

Structure (POSCAR):
```
LaNd4As5
1.0
-2.149 3.035 10.733
2.149 -3.035 10.733
2.149 3.035 -10.733
La Nd As
1 4 5
direct
0.000 0.000 0.000
0.201 0.201 0.000
0.399 0.399 0.000
0.601 0.601 0.000
0.799 0.799 0.000
0.102 0.602 0.500
0.300 0.800 0.500
0.500 0.000 0.500
0.700 0.200 0.500
0.898 0.398 0.500
```

---

DFT (PBE-GGA) results for In2RuW after structural relaxation.

Computed properties:
DFT total energy in eV/atom: -6.39
V in Å³/atom: 18.06
Density in g/cm³: 11.826
Energy above the lowest structure with this stoichiometry in meV per atom: 348
Energy of formation from the pure elements in eV/atom: 0.5396
D(E_F) in states/eV per atom: 0.876

Structure (POSCAR):
```
In2RuW
1.0
1.604 -2.466 0.000
1.604 2.466 0.000
0.000 0.000 9.136
In Ru W
2 1 1
direct
0.000 0.000 0.239
0.000 0.000 0.761
0.500 0.500 0.000
0.500 0.500 0.500
```

---

DFT (PBE-GGA) results for LiLaPt2 after structural relaxation.

Computed properties:
DFT total energy in eV/atom: -5.61
V in Å³/atom: 20.40
Density in g/cm³: 10.910
Energy of formation from the pure elements in eV/atom: -0.8839
D(E_F) in states/eV per atom: 0.292

Structure (POSCAR):
```
LiLaPt2
1.0
3.793 -2.185 0.000
3.793 2.185 0.000
-2.519 0.000 4.922
Li La Pt
1 1 2
direct
0.000 0.000 0.000
0.500 0.500 0.500
0.285 0.285 0.855
0.715 0.715 0.145
```